Record 1
DFT (PBE) results for SbSe2BrCl after structural relaxation.

## Properties
Raw total energy: -2.217 eV per atom
Formation energy (no corrections): 0.705 eV/atom
Energy relative to the lowest polymorph listed for this composition: 167 kJ/mol of formula units
Calculated volume: 134 Å³/cell

Geometry as CIF:
```
data_SbSe2BrCl
_space_group_name_H-M_alt 'P 4/m m m'
_space_group_IT_number 123
_space_group_name_Hall '-P 4 2'
_cell_length_a 5.1801
_cell_length_b 5.1801
_cell_length_c 4.9887
_cell_angle_alpha 90.00
_cell_angle_beta 90.00
_cell_angle_gamma 90.00
loop_
_atom_site_label
_atom_site_fract_x
_atom_site_fract_y
_atom_site_fract_z
Sb1 0.0000 0.0000 0.0000
Se1 0.0000 0.5000 0.5000
Br1 0.5000 0.5000 0.0000
Cl1 0.5000 0.5000 0.5000
```


Record 2
DFT (PBE) results for Sr3LiPd after structural relaxation.

## Properties
Raw total energy: -2.527 eV per atom
Energy relative to the lowest polymorph listed for this composition: 86 kJ/mol of formula units
ΔE_f: -97 meV/atom
Calculated volume: 803 Å³/cell

Geometry as CIF:
```
data_Sr3LiPd
_space_group_name_H-M_alt 'C m c m'
_space_group_IT_number 63
_space_group_name_Hall '-C 2c 2'
_cell_length_a 9.7564
_cell_length_b 11.6490
_cell_length_c 7.0682
_cell_angle_alpha 90.00
_cell_angle_beta 90.00
_cell_angle_gamma 90.00
loop_
_atom_site_label
_atom_site_fract_x
_atom_site_fract_y
_atom_site_fract_z
Sr1 0.0000 0.0000 0.0000
Sr2 0.1923 0.3054 0.2500
Li1 0.0000 0.4212 0.7500
Pd1 0.0000 0.2093 0.7500
```


Record 3
DFT (PBE) results for La2Pr7Tl2 after structural relaxation.

## Properties
Raw total energy: -4.379 eV per atom
ΔE_f: -12 meV/atom
Calculated volume: 772 Å³/cell

Geometry as CIF:
```
data_La2Pr7Tl2
_space_group_name_H-M_alt 'C 1 2/m 1'
_space_group_IT_number 12
_space_group_name_Hall '-C 2y'
_cell_length_a 9.2570
_cell_length_b 9.6811
_cell_length_c 8.9584
_cell_angle_alpha 90.00
_cell_angle_beta 106.06
_cell_angle_gamma 90.00
loop_
_atom_site_label
_atom_site_fract_x
_atom_site_fract_y
_atom_site_fract_z
La1 0.0000 0.1795 0.0000
Pr1 0.0000 0.0000 0.5000
Pr2 0.1822 0.3018 0.6649
Pr3 0.1883 0.5000 0.0124
Tl1 0.1175 0.5000 0.3416
```


Number 1: magnetic moment 0.3 Bohr magnetons per cell. Number 2: magnetic moment 0.0 Bohr magnetons per cell. Number 3: magnetic moment 0.0 Bohr magnetons per cell.